The following is a DFT calculation (PBEsol) of an optimized crystal structure of NbAu2IF.

Output
- crystal system = tetragonal
- E_form (uncorrected) (meV per atom) = -67
- spin magnetization (μB per cell) = 0.002
- total energy (eV per cell) = -22.7

Unit cell a=5.1961 b=5.1961 c=4.0658 alpha=90.00 beta=90.00 gamma=90.00
Closest atoms and distances in Å follow each position.
Atoms (fractional coordinates):
Nb  0.0000  0.0000  0.0000  2 F 2.03
Au  0.0000  0.5000  0.0000  2 Nb 2.60
Au  0.5000  0.0000  0.0000  2 Nb 2.60
I  0.5000  0.5000  0.5000  8 Au 3.30, 4 F 3.67
F  0.0000  0.0000  0.5000  2 Nb 2.03

The following is a DFT calculation (PBEsol) of an optimized crystal structure of PAuI2F.

Output
- crystal system = tetragonal
- E_form (uncorrected) (meV per atom) = 611
- spin magnetization (μB per cell) = 0.003
- total energy (eV per cell) = -12.1

Unit cell a=5.5428 b=5.5428 c=3.9846 alpha=90.00 beta=90.00 gamma=90.00
Closest atoms and distances in Å follow each position.
Atoms (fractional coordinates):
P  0.0000  0.0000  0.0000  8 I 3.41
Au  0.5000  0.5000  0.0000  2 F 1.99
I  0.0000  0.5000  0.5000  2 F 2.77
I  0.5000  0.0000  0.5000  2 F 2.77
F  0.5000  0.5000  0.5000  2 Au 1.99

The following is a DFT calculation (PBEsol) of an optimized crystal structure of In3AuF.

Output
- crystal system = cubic
- E_form (uncorrected) (meV per atom) = -373
- spin magnetization (μB per cell) = 0.000
- total energy (eV per cell) = -16.7

Unit cell a=4.8489 b=4.8489 c=4.8489 alpha=90.00 beta=90.00 gamma=90.00
Closest atoms and distances in Å follow each position.
Atoms (fractional coordinates):
In  0.0000  0.0000  0.5000  2 F 2.42
In  0.0000  0.5000  0.0000  2 F 2.42
In  0.5000  0.0000  0.0000  2 F 2.42
Au  0.5000  0.5000  0.5000  12 In 3.43
F  0.0000  0.0000  0.0000  6 In 2.42

The following is a DFT calculation (PBEsol) of an optimized crystal structure of InAu3F.

Output
- crystal system = cubic
- E_form (uncorrected) (meV per atom) = 269
- spin magnetization (μB per cell) = 0.000
- total energy (eV per cell) = -15.3

Unit cell a=4.5562 b=4.5562 c=4.5562 alpha=90.00 beta=90.00 gamma=90.00
Closest atoms and distances in Å follow each position.
Atoms (fractional coordinates):
In  0.0000  0.0000  0.0000  12 Au 3.22
Au  0.0000  0.5000  0.5000  2 F 2.28
Au  0.5000  0.0000  0.5000  2 F 2.28
Au  0.5000  0.5000  0.0000  2 F 2.28
F  0.5000  0.5000  0.5000  6 Au 2.28

The following is a DFT calculation (PBEsol) of an optimized crystal structure of InAuNF2.

Output
- crystal system = tetragonal
- E_form (uncorrected) (meV per atom) = -306
- spin magnetization (μB per cell) = 0.003
- total energy (eV per cell) = -20.8

Unit cell a=4.0669 b=4.0669 c=4.4131 alpha=90.00 beta=90.00 gamma=90.00
Closest atoms and distances in Å follow each position.
Atoms (fractional coordinates):
In  0.0000  0.0000  0.0000  4 F 2.03, 2 N 2.21
Au  0.5000  0.5000  0.5000  4 N 2.88, 8 F 3.00
N  0.0000  0.0000  0.5000  2 In 2.21
F  0.0000  0.5000  0.0000  2 In 2.03
F  0.5000  0.0000  0.0000  2 In 2.03

The following is a DFT calculation (PBEsol) of an optimized crystal structure of InAuO2F.

Output
- crystal system = tetragonal
- E_form (uncorrected) (meV per atom) = -505
- spin magnetization (μB per cell) = 1.031
- total energy (eV per cell) = -21.9

Unit cell a=4.1523 b=4.1523 c=4.1052 alpha=90.00 beta=90.00 gamma=90.00
Closest atoms and distances in Å follow each position.
Atoms (fractional coordinates):
In  0.0000  0.0000  0.0000  2 F 2.05, 4 O 2.08
Au  0.5000  0.5000  0.5000  8 O 2.92, 4 F 2.94
O  0.0000  0.5000  0.0000  2 In 2.08
O  0.5000  0.0000  0.0000  2 In 2.08
F  0.0000  0.0000  0.5000  2 In 2.05

The following is a DFT calculation (PBEsol) of an optimized crystal structure of InAuOF2.

Output
- crystal system = tetragonal
- E_form (uncorrected) (meV per atom) = -689
- spin magnetization (μB per cell) = 0.490
- total energy (eV per cell) = -19.5

Unit cell a=4.4988 b=4.4988 c=3.9139 alpha=90.00 beta=90.00 gamma=90.00
Closest atoms and distances in Å follow each position.
Atoms (fractional coordinates):
In  0.0000  0.0000  0.0000  8 F 2.98, 4 O 3.18
Au  0.5000  0.5000  0.5000  2 O 1.96
O  0.5000  0.5000  0.0000  2 Au 1.96
F  0.0000  0.5000  0.5000  2 Au 2.25
F  0.5000  0.0000  0.5000  2 Au 2.25

The following is a DFT calculation (PBEsol) of an optimized crystal structure of Zr2InAuF.

Output
- crystal system = tetragonal
- E_form (uncorrected) (meV per atom) = -629
- spin magnetization (μB per cell) = 0.002
- total energy (eV per cell) = -30.2

Unit cell a=4.3492 b=4.3492 c=4.8464 alpha=90.00 beta=90.00 gamma=90.00
Closest atoms and distances in Å follow each position.
Atoms (fractional coordinates):
Zr  0.0000  0.5000  0.0000  2 F 2.17
Zr  0.5000  0.0000  0.0000  2 F 2.17
In  0.0000  0.0000  0.5000  2 F 2.42
Au  0.5000  0.5000  0.5000  4 In 3.08, 8 Zr 3.26
F  0.0000  0.0000  0.0000  4 Zr 2.17, 2 In 2.42